(1)
YGa4Cu2Pd | PBE-GGA | optimized geometry

```
8
Lattice="-0.748 -3.685 1.848 1.589 -0.802 3.793 -7.025 1.880 5.655" Properties=species:S:1:pos:R:3 pbc="T T T"
Y 0.000 0.000 0.000
Ga -5.298 -0.284 6.788
Ga -1.920 -3.211 7.067
Ga -4.264 0.604 4.229
Ga -0.886 -2.323 4.508
Cu -4.477 -2.029 8.389
Cu -1.707 -0.577 2.907
Pd -3.092 -1.303 5.648
```

Computed properties:
Magnetic moment ... 0.00 μB/f.u.
N(E_F) ... 0.308 states/eV/atom
Energy relative to the elements ... -0.397 eV/atom



(2)
NdTiTlHg | PBE-GGA | optimized geometry

```
4
Lattice="-4.454 1.498 2.226 -3.446 -3.562 1.575 -0.768 -0.807 5.079" Properties=species:S:1:pos:R:3 pbc="T T T"
Tl -6.501 -2.153 6.660
Nd -4.334 -1.436 4.440
Hg -2.167 -0.718 2.220
Ti 0.000 0.000 0.000
```

Computed properties:
Magnetic moment ... 2.10 μB/f.u.
N(E_F) ... 1.130 states/eV/atom
Energy relative to the elements ... -0.094 eV/atom



(3)
Ho2Tl3AgTe6 | PBE-GGA | optimized geometry

```
12
Lattice="-0.580 0.452 -7.638 0.976 -6.811 3.397 -7.837 1.268 1.940" Properties=species:S:1:pos:R:3 pbc="T T T"
Ho 0.454 -4.371 -0.310
Ho -0.057 -1.987 -3.931
Tl -3.220 -4.879 2.394
Tl -4.220 -0.212 -4.696
Tl -3.720 -2.545 -1.151
Ag 0.000 0.000 0.000
Te -6.112 -2.686 -3.543
Te -1.475 -4.438 -2.713
Te -1.329 -2.405 1.241
Te -5.600 -5.075 0.087
Te -5.966 -0.653 0.412
Te -1.841 -0.016 -2.388
```

Computed properties:
Magnetic moment ... 0.00 μB/f.u.
N(E_F) ... 0.595 states/eV/atom
Energy relative to the elements, uncorrected ... -0.67 eV per atom



(4)
Pm8NdCo2 | PBE-GGA | optimized geometry

```
11
Lattice="-3.134 -3.333 3.340 5.515 1.861 5.697 -5.853 5.505 -1.333" Properties=species:S:1:pos:R:3 pbc="T T T"
Pm -1.710 2.233 7.499
Pm -4.688 3.188 5.657
Pm -1.112 3.398 3.560
Pm 1.011 1.136 5.551
Pm -4.483 2.897 2.154
Pm -2.359 0.635 4.144
Pm 1.216 0.845 2.047
Pm -1.762 1.800 0.205
Nd -1.567 -1.666 1.670
Co -2.479 4.423 0.754
Co 2.141 2.943 3.611
```

Computed properties:
Magnetic moment ... 0.00 μB/f.u.
N(E_F) ... 1.446 states/eV/atom
Energy relative to the elements ... 0.063 eV/atom



(5)
LiHfHgRh | PBE-GGA | optimized geometry

```
4
Lattice="4.620 0.000 0.000 2.310 4.001 0.000 2.310 1.334 3.773" Properties=species:S:1:pos:R:3 pbc="T T T"
Rh 2.310 1.334 0.943
Hf 4.620 2.668 1.886
Hg 6.931 4.001 2.829
Li 0.000 0.000 0.000
```

Computed properties:
Magnetic moment ... 0.00 μB/f.u.
N(E_F) ... 0.842 states/eV/atom
Energy relative to the elements ... -0.308 eV/atom



(6)
YFeCu2 | PBE-GGA | optimized geometry

```
4
Lattice="8.670 -0.033 -0.019 8.149 2.961 -0.019 8.149 1.419 2.599" Properties=species:S:1:pos:R:3 pbc="T T T"
Cu 24.670 4.295 2.530
Cu 12.782 2.225 1.311
Fe 6.242 1.087 0.640
Y 18.726 3.260 1.920
```

Computed properties:
Magnetic moment ... 3.03 μB/f.u.
N(E_F) ... 1.170 states/eV/atom
Energy relative to the elements ... 0.471 eV/atom